VASP calculation (PBE) on crystalline Nd3InPb2 at its relaxed geometry.

Cell and atoms, written as CIF:
```
data_Nd3InPb2
_cell_length_a 9.3190
_cell_length_b 9.3190
_cell_length_c 6.4774
_cell_angle_alpha 101.26
_cell_angle_beta 101.26
_cell_angle_gamma 41.39
_space_group_name_H-M_alt 'P 1'
_space_group_IT_number 1
_space_group_name_Hall 'P 1'
loop_
_atom_site_label
_atom_site_type_symbol
_atom_site_fract_x
_atom_site_fract_y
_atom_site_fract_z
Nd1 Nd 0.1312 0.8688 0.7500
Nd2 Nd 0.2143 0.4473 0.4002
Nd3 Nd 0.4473 0.2143 0.9002
Nd4 Nd 0.5527 0.7857 0.0998
Nd5 Nd 0.7857 0.5527 0.5998
Nd6 Nd 0.8688 0.1312 0.2500
In1 In 0.3759 0.6241 0.2500
In2 In 0.6241 0.3759 0.7500
Pb1 Pb 0.0489 0.2733 0.0671
Pb2 Pb 0.2733 0.0489 0.5671
Pb3 Pb 0.7267 0.9511 0.4329
Pb4 Pb 0.9511 0.7267 0.9329
```

calculated volume	363.8	Å³/cell
DOS at the Fermi energy	0.743	states/eV/atom
DFT formation energy	-0.4705	eV/atom
size of the total moment	0.00	μB per formula unit
SG	C2/c
electronic total energy	-4.547	eV/atom